First-principles (GGA-PBEsol) data for crystalline SnMoI2 at its relaxed geometry, as listed in Alexandria.

Output
* formation energy (no corrections): 3.21 eV/f.u.
* total magnetization: 1.09 μB per cell
* DOS(E_F): 2.98 states/eV/f.u.
* crystal system: cubic
* space group: No. 225

Cell and atoms, written as POSCAR:
```
SnMoI2
1.0
-4.202 -2.355 1.680
0.114 -2.597 4.389
-2.467 1.793 4.090
I Mo Sn
2 1 1
Direct
0.250 0.250 0.250 I
0.750 0.750 0.750 I
0.000 0.000 0.000 Mo
0.500 0.500 0.500 Sn
```